A plane-wave DFT calculation with GGA-PBE was carried out for IrPtSe after structural relaxation.

Properties
V (A^3/atom): 16.288
Energy relative to the elements, uncorrected (meV per atom): 298
VASP energy (eV per atom): -5.831
E above lowest polymorph (eV/atom): 0.0729

```
data_IrPtSe
_chemical_formula_sum 'Ir1 Pt1 Se1'
_symmetry_space_group_name_H-M 'P 1'
_symmetry_Int_Tables_number 1
_symmetry_space_group_name_Hall 'P 1'
_cell_length_a 2.986
_cell_length_b 2.986
_cell_length_c 6.326
_cell_angle_alpha 90.00
_cell_angle_beta 90.00
_cell_angle_gamma 120.00
loop_
_atom_site_label
_atom_site_type_symbol
_atom_site_fract_x
_atom_site_fract_y
_atom_site_fract_z
_atom_site_occupancy
Ir1 Ir 0.000 0.000 0.000 1
Pt1 Pt 0.667 0.333 0.350 1
Se1 Se 0.333 0.667 0.708 1
```